A.
SbAuI2Cl | PBE | optimized geometry

abc: 5.5599 5.5599 5.5234
angles: 90.00 90.00 90.00
Sites, in units of the cell vectors:
I (0.0000, 0.5000, 0.0000)
I (0.5000, 0.0000, 0.0000)
Sb (0.0000, 0.0000, 0.5000)
Au (0.0000, 0.0000, 0.0000)
Cl (0.5000, 0.5000, 0.5000)

## Properties
symmetry: No. 123
ρ: 5.91 g/cm³
crystal system: tetragonal
calculated volume: 170.74 Å³/cell

***

B.
SbAuI2Cl | PBE | optimized geometry

abc: 5.6010 5.6010 5.5879
angles: 90.00 90.00 90.00
Sites, in units of the cell vectors:
I (0.0000, 0.5000, 0.0000)
I (0.5000, 0.0000, 0.0000)
Sb (0.0000, 0.0000, 0.5000)
Au (0.5000, 0.5000, 0.5000)
Cl (0.0000, 0.0000, 0.0000)

## Properties
symmetry: No. 123
ρ: 5.76 g/cm³
crystal system: tetragonal
calculated volume: 175.30 Å³/cell

***

Which structure is the most stable? The one labeled A.

***

A.
TeAuI2Cl | PBE | optimized geometry

abc: 5.6434 5.6434 5.4334
angles: 90.00 90.00 90.00
Sites, in units of the cell vectors:
I (0.0000, 0.5000, 0.0000)
I (0.5000, 0.0000, 0.0000)
Te (0.0000, 0.0000, 0.5000)
Au (0.5000, 0.5000, 0.5000)
Cl (0.0000, 0.0000, 0.0000)

## Properties
symmetry: No. 123
ρ: 5.89 g/cm³
crystal system: tetragonal
calculated volume: 173.04 Å³/cell

***

B.
TeAuI2Cl | PBE | optimized geometry

abc: 5.5711 5.5711 5.6114
angles: 90.00 90.00 90.00
Sites, in units of the cell vectors:
I (0.0000, 0.5000, 0.0000)
I (0.5000, 0.0000, 0.0000)
Te (0.0000, 0.0000, 0.5000)
Au (0.0000, 0.0000, 0.0000)
Cl (0.5000, 0.5000, 0.5000)

## Properties
symmetry: No. 123
ρ: 5.85 g/cm³
crystal system: tetragonal
calculated volume: 174.16 Å³/cell

***

Which structure is the most stable? The one labeled B.